# SrNd3Se4

A relaxed structure of SrNd3Se4 (PBE-GGA, Alexandria via LeMat-Bulk).

The structure belongs to space group Pmmm (No. 47); the cell edges are 4.289, 6.011 and 8.590 Å and the angles 90.00°, 90.00° and 90.00°. The inequivalent atoms are Sr at (0.000, 0.000, 0.000), Nd at (0.000, 0.000, 0.500), Nd at (0.500, 0.500, 0.265), Se at (0.000, 0.500, 0.000), Se at (0.000, 0.500, 0.500) and Se at (0.500, 0.000, 0.254).

Its energy relative to the elements, uncorrected is -1.877 eV/atom. As for the offset from the most stable computed form: 0.0 meV per atom. Its crystal system is orthorhombic.

***

# SrNd2Se4

A relaxed structure of SrNd2Se4 (PBE-GGA, Alexandria via LeMat-Bulk).

The structure belongs to space group Cmcm (No. 63); the cell edges are 4.245, 14.000 and 14.407 Å and the angles 90.00°, 90.00° and 90.00°. The inequivalent atoms are Sr at (0.000, 0.113, 0.250), Nd at (0.000, 0.366, 0.070), Se at (0.000, 0.000, 0.000), Se at (0.000, 0.272, 0.618) and Se at (0.000, 0.457, 0.250).

Its energy relative to the elements, uncorrected is -1.923 eV/atom. As for the offset from the most stable computed form: 20.4 meV per atom. Its crystal system is orthorhombic.

***

# SrNd2Se3

A relaxed structure of SrNd2Se3 (PBE-GGA, Alexandria via LeMat-Bulk).

The structure belongs to space group Immm (No. 71); the cell edges are 4.261, 6.056 and 12.956 Å and the angles 90.00°, 90.00° and 90.00°. The inequivalent atoms are Sr at (0.000, 0.000, 0.000), Nd at (0.000, 0.000, 0.335), Se at (0.000, 0.500, 0.000) and Se at (0.000, 0.500, 0.330).

Its energy relative to the elements, uncorrected is -1.885 eV/atom. Its crystal system is orthorhombic.

***

# SrNdSe2

A relaxed structure of SrNdSe2 (PBE-GGA, Alexandria via LeMat-Bulk).

The structure belongs to space group R-3m (No. 166, hexagonal axes); the cell edges are 4.2843, 4.2843 and 21.5872 Å and the angles 90.00°, 90.00° and 120.00°. The inequivalent atoms are Sr at (0.0000, 0.0000, 0.0000), Nd at (0.0000, 0.0000, 0.5000) and Se at (0.0000, 0.0000, 0.2472).

Its energy relative to the elements, uncorrected is -1.921 eV/atom. As for the offset from the most stable computed form: 0.0 meV per atom. Its crystal system is trigonal.

***

# SrNd5Se8

A relaxed structure of SrNd5Se8 (PBE-GGA, Alexandria via LeMat-Bulk).

The structure belongs to space group I-4 (No. 82); the cell edges are 9.002, 9.002 and 9.015 Å and the angles 90.00°, 90.00° and 90.00°. The inequivalent atoms are Sr at (0.000, 0.000, 0.000), Nd at (0.000, 0.500, 0.250), Nd at (0.122, 0.749, 0.627), Se at (0.074, 0.821, 0.307) and Se at (0.076, 0.671, 0.950).

Its energy relative to the elements, uncorrected is -1.898 eV/atom. Its crystal system is tetragonal.

***

# SrNd5Se6

A relaxed structure of SrNd5Se6 (PBE-GGA, Alexandria via LeMat-Bulk).

The structure belongs to space group C2/m (No. 12); the cell edges are 7.355, 12.777 and 7.391 Å and the angles 90.00°, 109.42° and 90.00°. The inequivalent atoms are Sr at (0.000, 0.000, 0.000), Nd at (0.000, 0.165, 0.500), Nd at (0.000, 0.333, 0.000), Nd at (0.000, 0.500, 0.500), Se at (0.247, 0.500, 0.249) and Se at (0.248, 0.332, 0.747).

Its energy relative to the elements, uncorrected is -1.859 eV/atom. Its crystal system is monoclinic.

***

# SrNd2Se4

A relaxed structure of SrNd2Se4 (PBE-GGA, Alexandria via LeMat-Bulk).

The structure belongs to space group Pnma (No. 62); the cell edges are 12.195, 4.331 and 15.484 Å and the angles 90.00°, 90.00° and 90.00°. The inequivalent atoms are Sr at (0.237, 0.250, 0.160), Nd at (0.062, 0.750, 0.393), Nd at (0.105, 0.750, 0.900), Se at (0.007, 0.750, 0.717), Se at (0.065, 0.750, 0.088), Se at (0.155, 0.250, 0.512) and Se at (0.227, 0.250, 0.809).

Its energy relative to the elements, uncorrected is -1.934 eV/atom. As for the offset from the most stable computed form: 9.2 meV per atom. Its crystal system is orthorhombic.

***

# Sr2NdSe3

A relaxed structure of Sr2NdSe3 (PBE-GGA, Alexandria via LeMat-Bulk).

The structure belongs to space group Immm (No. 71); the cell edges are 4.341, 6.166 and 13.133 Å and the angles 90.00°, 90.00° and 90.00°. The inequivalent atoms are Sr at (0.000, 0.000, 0.168), Nd at (0.000, 0.000, 0.500), Se at (0.000, 0.500, 0.160) and Se at (0.000, 0.500, 0.500).

Its energy relative to the elements, uncorrected is -1.952 eV/atom. As for the offset from the most stable computed form: 5.1 meV per atom. Its crystal system is orthorhombic.

***

# SrNdSe2

A relaxed structure of SrNdSe2 (PBE-GGA, Alexandria via LeMat-Bulk).

The structure belongs to space group P6_3/mmc (No. 194); the cell edges are 4.2538, 4.2538 and 14.6644 Å and the angles 90.00°, 90.00° and 120.00°. The inequivalent atoms are Sr at (0.3333, 0.6667, 0.2500), Nd at (0.0000, 0.0000, 0.0000) and Se at (0.3333, 0.6667, 0.6187).

Its energy relative to the elements, uncorrected is -1.889 eV/atom. As for the offset from the most stable computed form: 32.0 meV per atom. Its crystal system is hexagonal.

***

# Sr2NdSe3

A relaxed structure of Sr2NdSe3 (PBE-GGA, Alexandria via LeMat-Bulk).

The structure belongs to space group C2/m (No. 12); the cell edges are 7.537, 13.043 and 7.582 Å and the angles 90.00°, 109.34° and 90.00°. The inequivalent atoms are Sr at (0.000, 0.000, 0.000), Sr at (0.000, 0.165, 0.500), Sr at (0.000, 0.500, 0.500), Nd at (0.000, 0.333, 0.000), Se at (0.241, 0.500, 0.241) and Se at (0.249, 0.330, 0.757).

Its energy relative to the elements, uncorrected is -1.957 eV/atom. As for the offset from the most stable computed form: 0.0 meV per atom. Its crystal system is monoclinic.

***

# Sr3Tb3NdSe8

A relaxed structure of Sr3Tb3NdSe8 (PBE-GGA, Alexandria via LeMat-Bulk).

The structure belongs to space group R-3m (No. 166, hexagonal axes); the cell edges are 8.3861, 8.3861 and 21.4150 Å and the angles 90.00°, 90.00° and 120.00°. The inequivalent atoms are Sr at (0.0000, 0.5000, 0.0000), Tb at (0.0000, 0.5000, 0.5000), Nd at (0.0000, 0.0000, 0.5000), Se at (0.0000, 0.0000, 0.2438) and Se at (0.0085, 0.5042, 0.7558).

Its energy relative to the elements, uncorrected is -1.927 eV/atom. Its crystal system is trigonal.

***

# SrTb4NdSe8

A relaxed structure of SrTb4NdSe8 (PBE-GGA, Alexandria via LeMat-Bulk).

The structure belongs to space group R3m (No. 160, hexagonal axes); the cell edges are 8.5707, 8.5707 and 21.2349 Å and the angles 90.00°, 90.00° and 120.00°. The inequivalent atoms are Sr at (0.0000, 0.0000, 0.0000), Tb at (0.0000, 0.0000, 0.7479), Tb at (0.0046, 0.5023, 0.8741), Nd at (0.0000, 0.0000, 0.3715), Se at (0.0000, 0.0000, 0.1373), Se at (0.0000, 0.0000, 0.6156), Se at (0.0154, 0.5077, 0.1281) and Se at (0.1820, 0.3640, 0.9497).

Its energy relative to the elements, uncorrected is -1.798 eV/atom. Its crystal system is trigonal.